This record from Alexandria via LeMat-Bulk describes a geometry-optimized CsSb3Pd structure. The functional is PBE.

Cell lengths 6.095, 6.095, 6.095 Å; angles 90.00, 90.00, 90.00 degrees
Atoms (fractional coordinates):
Cs 0.000 0.000 0.000
Sb 0.000 0.500 0.000
Sb 0.000 0.000 0.500
Sb 0.500 0.000 0.000
Pd 0.500 0.500 0.500

Results
Total DFT energy (no corrections) in eV/f.u.: -9.162
Density of states at the Fermi level in states/eV/cell: 12.60